[1]
DFT (PBE) results for BeVCu after structural relaxation.

Cell: 3.6331 3.1337 6.1757 Å, 90.00 72.93 90.00°
With the nearest neighbours (Å) after each atom.
Element x y z (fractional)
1 V 0.8268 0.5817 0.3143  4 V 2.40, 4 Be 2.55
2 V 0.3267 0.0817 0.3142  4 V 2.40, 4 Cu 2.60
3 Be 0.9968 0.0816 0.9743  6 Cu 2.40, 2 V 2.55, 2 Be 2.62
4 Be 0.6571 0.0817 0.6542  6 Cu 2.40, 2 V 2.55, 2 Be 2.62
5 Cu 0.5029 0.5817 0.9624  6 Be 2.40, 2 Cu 2.52, 2 V 2.60
6 Cu 0.1508 0.5818 0.6661  6 Be 2.40, 2 Cu 2.52, 2 V 2.60

Calculated values
Total energy   -5.63 eV/atom
Space-group type   Cmmm



[2]
DFT (PBE) results for BeVCu after structural relaxation.

Cell: 5.4646 2.8143 4.8059 Å, 107.07 94.25 104.93°
With the nearest neighbours (Å) after each atom.
Element x y z (fractional)
1 Cu 0.2967 0.7146 0.5729  3 Be 2.22-2.30
2 Cu 0.4091 0.5132 0.0559  3 Be 2.22-2.30
3 Be 0.0260 0.1608 0.7351  1 Be 2.07, 3 Cu 2.22-2.30
4 Be 0.6797 0.0668 0.8932  1 Be 2.07, 3 Cu 2.22-2.30
5 V 0.7074 0.3622 0.4565  5 Be 2.40-2.57, 2 V 2.59, 2 Cu 2.63
6 V 0.9984 0.8655 0.1718  5 Be 2.40-2.57, 2 V 2.59, 2 Cu 2.63

Calculated values
Total energy   -5.64 eV/atom
Space-group type   C2/m



[3]
DFT (PBE) results for BeVCu after structural relaxation.

Cell: 4.3336 2.4432 6.7070 Å, 102.39 103.92 89.95°
With the nearest neighbours (Å) after each atom.
Element x y z (fractional)
1 V 0.6715 0.0234 0.4399  5 Be 2.36-2.62, 3 V 2.44-2.61
2 V 0.1108 0.0512 0.1886  5 Be 2.36-2.62, 3 V 2.44-2.61
3 Be 0.2079 0.6484 0.5270  3 Cu 2.31-2.36, 3 V 2.36-2.48, 2 Be 2.44
4 Be 0.5743 0.4263 0.1015  3 Cu 2.31-2.36, 3 V 2.36-2.48, 2 Be 2.44
5 Cu 0.1369 0.3030 0.8166  3 Be 2.31-2.36, 6 Cu 2.41-2.56
6 Cu 0.6452 0.7697 0.8119  3 Be 2.31-2.36, 6 Cu 2.41-2.56

Calculated values
Total energy   -5.63 eV/atom
Space-group type   P-1



[4]
DFT (PBE) results for Be2VCu2 after structural relaxation.

Cell: 6.5959 6.5959 2.4500 Å, 90.00 90.00 90.00°
With the nearest neighbours (Å) after each atom.
Element x y z (fractional)
1 Cu 0.8305 0.3305 0.5000  6 Be 2.27-2.32, 2 Cu 2.45
2 Cu 0.3305 0.1695 0.5000  6 Be 2.27-2.32, 2 Cu 2.45
3 Cu 0.6695 0.8305 0.5000  6 Be 2.27-2.32, 2 Cu 2.45
4 Cu 0.1695 0.6695 0.5000  6 Be 2.27-2.32, 2 Cu 2.45
5 Be 0.8749 0.6251 0.0000  6 Cu 2.27-2.32, 3 Be 2.33-2.45
6 Be 0.6251 0.1251 0.0000  6 Cu 2.27-2.32, 3 Be 2.33-2.45
7 Be 0.1251 0.3749 0.0000  6 Cu 2.27-2.32, 3 Be 2.33-2.45
8 Be 0.3749 0.8749 0.0000  6 Cu 2.27-2.32, 3 Be 2.33-2.45
9 V 0.5000 0.5000 0.0000  2 V 2.45, 4 Be 2.61, 8 Cu 2.74
10 V 0.0000 0.0000 0.0000  2 V 2.45, 4 Be 2.61, 8 Cu 2.74

Calculated values
Total energy   -4.94 eV/atom
Space-group type   P4/mbm



[5]
DFT (PBE) results for Be3VCu after structural relaxation.

Cell: 3.8900 3.8900 3.8900 Å, 90.00 90.00 90.00°
With the nearest neighbours (Å) after each atom.
Element x y z (fractional)
1 V 0.5000 0.5000 0.5000  12 Be 2.75
2 Be 0.5000 0.0000 0.0000  2 Cu 1.94
3 Be 0.0000 0.0000 0.5000  2 Cu 1.94
4 Be 0.0000 0.5000 0.0000  2 Cu 1.94
5 Cu 0.0000 0.0000 0.0000  6 Be 1.94

Calculated values
Total energy   -4.27 eV/atom
Space-group type   Pm-3m



[6]
DFT (PBE) results for BeVCu after structural relaxation.

Cell: 3.4896 3.4896 5.7324 Å, 90.00 90.00 90.00°
With the nearest neighbours (Å) after each atom.
Element x y z (fractional)
1 V 0.0000 0.5000 0.1494  5 Cu 2.42-2.57, 4 Be 2.66
2 V 0.5000 0.0000 0.8506  5 Cu 2.42-2.57, 4 Be 2.66
3 Cu 0.0000 0.5000 0.7268  4 Be 2.18, 1 V 2.42
4 Cu 0.5000 0.0000 0.2732  4 Be 2.18, 1 V 2.42
5 Be 0.5000 0.5000 0.5000  4 Cu 2.18
6 Be 0.0000 0.0000 0.5000  4 Cu 2.18

Calculated values
Total energy   -5.43 eV/atom
Space-group type   P4/nmm



no.,Fermi-level density of states (states/eV/f.u.),ΔH_f (0 K) (meV per atom)
1,2.37,18
2,2.04,6
3,1.99,17
4,2.74,10
5,2.54,607
6,2.63,214